[1]
# Rb3Sm3US8, optimized geometry, DFT PBE
# formation energy without anion corrections = -1.7534 eV per atom
# electronic total energy = -5.8446 eV per atom
data_Rb3Sm3US8
_chemical_formula_sum 'Rb9 Sm9 U3 S24'
_cell_length_a 8.2457
_cell_length_b 8.2457
_cell_length_c 23.4781
_cell_angle_alpha 90.00
_cell_angle_beta 90.00
_cell_angle_gamma 120.00
_space_group_name_H-M_alt 'R -3 m'
_space_group_IT_number 166
_space_group_name_Hall '-R 3 2"'
loop_
_atom_site_label
_atom_site_type_symbol
_atom_site_fract_x
_atom_site_fract_y
_atom_site_fract_z
Rb1 Rb 0.0000 0.5000 0.0000
Sm1 Sm 0.0000 0.5000 0.5000
U1 U 0.0000 0.0000 0.5000
S1 S 0.0000 0.0000 0.2314
S2 S 0.0117 0.5059 0.2289

=====

[2]
# Rb4SmU3S12, optimized geometry, DFT PBE
# formation energy without anion corrections = -1.3765 eV per atom
# electronic total energy = -5.9757 eV per atom
data_Rb4SmU3S12
_chemical_formula_sum 'Rb8 Sm2 U6 S24'
_cell_length_a 10.492
_cell_length_b 10.492
_cell_length_c 10.492
_cell_angle_alpha 90.00
_cell_angle_beta 90.00
_cell_angle_gamma 90.00
_space_group_name_H-M_alt 'I m -3 m'
_space_group_IT_number 229
_space_group_name_Hall '-I 4 2 3'
loop_
_atom_site_label
_atom_site_type_symbol
_atom_site_fract_x
_atom_site_fract_y
_atom_site_fract_z
Rb1 Rb 0.250 0.250 0.250
Sm1 Sm 0.000 0.000 0.000
U1 U 0.000 0.000 0.500
S1 S 0.000 0.000 0.262
S2 S 0.000 0.250 0.500

=====

[3]
# Rb2SmUS6, optimized geometry, DFT PBE
# formation energy without anion corrections = -1.3354 eV per atom
# electronic total energy = -5.6061 eV per atom
data_Rb2SmUS6
_chemical_formula_sum 'Rb4 Sm2 U2 S12'
_cell_length_a 7.502
_cell_length_b 7.500
_cell_length_c 12.985
_cell_angle_alpha 90.00
_cell_angle_beta 125.24
_cell_angle_gamma 90.00
_space_group_name_H-M_alt 'P 1 21/c 1'
_space_group_IT_number 14
_space_group_name_Hall '-P 2ybc'
loop_
_atom_site_label
_atom_site_type_symbol
_atom_site_fract_x
_atom_site_fract_y
_atom_site_fract_z
Rb1 Rb 0.250 0.000 0.250
Sm1 Sm 0.000 0.000 0.500
U1 U 0.500 0.000 0.000
S1 S 0.259 0.000 0.760
S2 S 0.260 0.238 0.001
S3 S 0.262 0.741 0.501

=====

[4]
# Rb3Sm2US6, optimized geometry, DFT PBE
# formation energy without anion corrections = -1.6547 eV per atom
# electronic total energy = -5.6876 eV per atom
data_Rb3Sm2US6
_chemical_formula_sum 'Rb6 Sm4 U2 S12'
_cell_length_a 7.191
_cell_length_b 12.462
_cell_length_c 8.071
_cell_angle_alpha 90.00
_cell_angle_beta 107.28
_cell_angle_gamma 90.00
_space_group_name_H-M_alt 'C 1 2/m 1'
_space_group_IT_number 12
_space_group_name_Hall '-C 2y'
loop_
_atom_site_label
_atom_site_type_symbol
_atom_site_fract_x
_atom_site_fract_y
_atom_site_fract_z
Rb1 Rb 0.000 0.000 0.000
Rb2 Rb 0.000 0.332 0.000
Sm1 Sm 0.000 0.166 0.500
U1 U 0.000 0.500 0.500
S1 S 0.229 0.336 0.695
S2 S 0.237 0.000 0.695

=====

[5]
# Rb2SmUS4, optimized geometry, DFT PBE
# formation energy without anion corrections = -1.5785 eV per atom
# electronic total energy = -5.8850 eV per atom
data_Rb2SmUS4
_chemical_formula_sum 'Rb2 Sm1 U1 S4'
_cell_length_a 7.152
_cell_length_b 4.133
_cell_length_c 8.081
_cell_angle_alpha 90.00
_cell_angle_beta 107.20
_cell_angle_gamma 90.00
_space_group_name_H-M_alt 'P 1 2/m 1'
_space_group_IT_number 10
_space_group_name_Hall '-P 2y'
loop_
_atom_site_label
_atom_site_type_symbol
_atom_site_fract_x
_atom_site_fract_y
_atom_site_fract_z
Rb1 Rb 0.000 0.000 0.000
Rb2 Rb 0.500 0.500 0.000
Sm1 Sm 0.000 0.500 0.500
U1 U 0.500 0.000 0.500
S1 S 0.237 0.000 0.696
S2 S 0.274 0.500 0.307

=====

[6]
# Rb4SmU3S8, optimized geometry, DFT PBE
# formation energy without anion corrections = -1.4635 eV per atom
# electronic total energy = -6.1806 eV per atom
data_Rb4SmU3S8
_chemical_formula_sum 'Rb12 Sm3 U9 S24'
_cell_length_a 8.1998
_cell_length_b 8.1998
_cell_length_c 23.2165
_cell_angle_alpha 90.00
_cell_angle_beta 90.00
_cell_angle_gamma 120.00
_space_group_name_H-M_alt 'R -3 m'
_space_group_IT_number 166
_space_group_name_Hall '-R 3 2"'
loop_
_atom_site_label
_atom_site_type_symbol
_atom_site_fract_x
_atom_site_fract_y
_atom_site_fract_z
Rb1 Rb 0.0000 0.0000 0.0000
Rb2 Rb 0.0000 0.5000 0.0000
Sm1 Sm 0.0000 0.0000 0.5000
U1 U 0.0000 0.5000 0.5000
S1 S 0.0000 0.0000 0.2307
S2 S 0.0047 0.5024 0.7683

=====

[7]
# RbSm2US5, optimized geometry, DFT PBE
# formation energy without anion corrections = -1.6460 eV per atom
# electronic total energy = -6.3495 eV per atom
data_RbSm2US5
_chemical_formula_sum 'Rb2 Sm4 U2 S10'
_cell_length_a 5.043
_cell_length_b 7.220
_cell_length_c 13.782
_cell_angle_alpha 90.00
_cell_angle_beta 90.00
_cell_angle_gamma 90.00
_space_group_name_H-M_alt 'I m m m'
_space_group_IT_number 71
_space_group_name_Hall '-I 2 2'
loop_
_atom_site_label
_atom_site_type_symbol
_atom_site_fract_x
_atom_site_fract_y
_atom_site_fract_z
Rb1 Rb 0.000 0.000 0.000
Sm1 Sm 0.000 0.500 0.204
U1 U 0.000 0.000 0.500
S1 S 0.000 0.236 0.347
S2 S 0.000 0.500 0.000

=====

[8]
# RbSmVS4, optimized geometry, DFT PBE
# formation energy without anion corrections = -1.3813 eV per atom
# electronic total energy = -5.8549 eV per atom
data_RbSmVS4
_chemical_formula_sum 'Rb2 Sm2 V2 S8'
_cell_length_a 6.640
_cell_length_b 6.680
_cell_length_c 9.119
_cell_angle_alpha 90.00
_cell_angle_beta 107.71
_cell_angle_gamma 90.00
_space_group_name_H-M_alt 'P 1 21/m 1'
_space_group_IT_number 11
_space_group_name_Hall '-P 2yb'
loop_
_atom_site_label
_atom_site_type_symbol
_atom_site_fract_x
_atom_site_fract_y
_atom_site_fract_z
Rb1 Rb 0.234 0.250 0.439
Sm1 Sm 0.279 0.250 0.954
V1 V 0.267 0.750 0.167
S1 S 0.072 0.750 0.322
S2 S 0.074 0.750 0.927
S3 S 0.500 0.000 0.203

=====

[9]
# Rb2SmVS4, optimized geometry, DFT PBE
# formation energy without anion corrections = -1.2537 eV per atom
# electronic total energy = -5.2891 eV per atom
data_Rb2SmVS4
_chemical_formula_sum 'Rb4 Sm2 V2 S8'
_cell_length_a 7.348
_cell_length_b 7.348
_cell_length_c 9.750
_cell_angle_alpha 90.00
_cell_angle_beta 90.00
_cell_angle_gamma 90.00
_space_group_name_H-M_alt 'I -4'
_space_group_IT_number 82
_space_group_name_Hall 'I -4'
loop_
_atom_site_label
_atom_site_type_symbol
_atom_site_fract_x
_atom_site_fract_y
_atom_site_fract_z
Rb1 Rb 0.000 0.000 0.000
Rb2 Rb 0.000 0.500 0.250
Sm1 Sm 0.000 0.000 0.500
V1 V 0.000 0.500 0.750
S1 S 0.156 0.726 0.635

=====

[10]
# RbSmY4S8, optimized geometry, DFT PBE
# formation energy without anion corrections = -1.9031 eV per atom
# electronic total energy = -6.5147 eV per atom
data_RbSmY4S8
_chemical_formula_sum 'Rb3 Sm3 Y12 S24'
_cell_length_a 8.2796
_cell_length_b 8.2796
_cell_length_c 20.5491
_cell_angle_alpha 90.00
_cell_angle_beta 90.00
_cell_angle_gamma 120.00
_space_group_name_H-M_alt 'R 3 m'
_space_group_IT_number 160
_space_group_name_Hall 'R 3 -2"'
loop_
_atom_site_label
_atom_site_type_symbol
_atom_site_fract_x
_atom_site_fract_y
_atom_site_fract_z
Rb1 Rb 0.0000 0.0000 0.0000
Sm1 Sm 0.0000 0.0000 0.3676
Y1 Y 0.0000 0.0000 0.7472
Y2 Y 0.0117 0.5058 0.8739
S1 S 0.0000 0.0000 0.1421
S2 S 0.0000 0.0000 0.6154
S3 S 0.0167 0.5084 0.1258
S4 S 0.1901 0.3802 0.9475

=====

[11]
# Rb2SmYS4, optimized geometry, DFT PBE
# formation energy without anion corrections = -1.8469 eV per atom
# electronic total energy = -5.5504 eV per atom
data_Rb2SmYS4
_chemical_formula_sum 'Rb2 Sm1 Y1 S4'
_cell_length_a 7.150
_cell_length_b 4.128
_cell_length_c 8.061
_cell_angle_alpha 90.00
_cell_angle_beta 107.18
_cell_angle_gamma 90.00
_space_group_name_H-M_alt 'P 1 2/m 1'
_space_group_IT_number 10
_space_group_name_Hall '-P 2y'
loop_
_atom_site_label
_atom_site_type_symbol
_atom_site_fract_x
_atom_site_fract_y
_atom_site_fract_z
Rb1 Rb 0.000 0.000 0.000
Rb2 Rb 0.500 0.500 0.000
Sm1 Sm 0.000 0.500 0.500
Y1 Y 0.500 0.000 0.500
S1 S 0.236 0.000 0.695
S2 S 0.273 0.500 0.307

=====

[12]
# Rb3SmY2S6, optimized geometry, DFT PBE
# formation energy without anion corrections = -1.8512 eV per atom
# electronic total energy = -5.6274 eV per atom
data_Rb3SmY2S6
_chemical_formula_sum 'Rb6 Sm2 Y4 S12'
_cell_length_a 7.125
_cell_length_b 12.340
_cell_length_c 8.056
_cell_angle_alpha 90.00
_cell_angle_beta 107.15
_cell_angle_gamma 90.00
_space_group_name_H-M_alt 'C 1 2/m 1'
_space_group_IT_number 12
_space_group_name_Hall '-C 2y'
loop_
_atom_site_label
_atom_site_type_symbol
_atom_site_fract_x
_atom_site_fract_y
_atom_site_fract_z
Rb1 Rb 0.000 0.000 0.000
Rb2 Rb 0.000 0.334 0.000
Sm1 Sm 0.000 0.500 0.500
Y1 Y 0.000 0.167 0.500
S1 S 0.226 0.000 0.693
S2 S 0.234 0.331 0.693

=====

[13]
# RbSmZnS3, optimized geometry, DFT PBE
# formation energy without anion corrections = -1.4688 eV per atom
# electronic total energy = -4.6926 eV per atom
data_RbSmZnS3
_chemical_formula_sum 'Rb2 Sm2 Zn2 S6'
_cell_length_a 9.156
_cell_length_b 4.079
_cell_length_c 9.703
_cell_angle_alpha 90.00
_cell_angle_beta 108.06
_cell_angle_gamma 90.00
_space_group_name_H-M_alt 'P 1 21/m 1'
_space_group_IT_number 11
_space_group_name_Hall '-P 2yb'
loop_
_atom_site_label
_atom_site_type_symbol
_atom_site_fract_x
_atom_site_fract_y
_atom_site_fract_z
Rb1 Rb 0.205 0.250 0.233
Sm1 Sm 0.333 0.750 0.856
Zn1 Zn 0.083 0.250 0.609
S1 S 0.119 0.250 0.854
S2 S 0.186 0.750 0.536
S3 S 0.462 0.750 0.154

=====

[14]
# Rb2Sm2ZrS6, optimized geometry, DFT PBE
# formation energy without anion corrections = -1.7680 eV per atom
# electronic total energy = -5.8304 eV per atom
data_Rb2Sm2ZrS6
_chemical_formula_sum 'Rb4 Sm4 Zr2 S12'
_cell_length_a 6.974
_cell_length_b 11.958
_cell_length_c 8.221
_cell_angle_alpha 90.00
_cell_angle_beta 106.73
_cell_angle_gamma 90.00
_space_group_name_H-M_alt 'C 1 2/m 1'
_space_group_IT_number 12
_space_group_name_Hall '-C 2y'
loop_
_atom_site_label
_atom_site_type_symbol
_atom_site_fract_x
_atom_site_fract_y
_atom_site_fract_z
Rb1 Rb 0.000 0.170 0.000
Sm1 Sm 0.000 0.334 0.500
Zr1 Zr 0.000 0.000 0.500
S1 S 0.220 0.157 0.687
S2 S 0.246 0.000 0.314

=====

[15]
# Rb2SmZrS4, optimized geometry, DFT PBE
# formation energy without anion corrections = -1.6119 eV per atom
# electronic total energy = -5.5760 eV per atom
data_Rb2SmZrS4
_chemical_formula_sum 'Rb2 Sm1 Zr1 S4'
_cell_length_a 6.924
_cell_length_b 3.961
_cell_length_c 8.051
_cell_angle_alpha 90.00
_cell_angle_beta 106.32
_cell_angle_gamma 90.00
_space_group_name_H-M_alt 'P 1 2/m 1'
_space_group_IT_number 10
_space_group_name_Hall '-P 2y'
loop_
_atom_site_label
_atom_site_type_symbol
_atom_site_fract_x
_atom_site_fract_y
_atom_site_fract_z
Rb1 Rb 0.000 0.000 0.000
Rb2 Rb 0.500 0.500 0.000
Sm1 Sm 0.000 0.500 0.500
Zr1 Zr 0.500 0.000 0.500
S1 S 0.249 0.000 0.696
S2 S 0.285 0.500 0.310

=====

[16]
# Rb4SnS4, optimized geometry, DFT PBE
# formation energy without anion corrections = -1.0415 eV per atom
# distance to the lowest polymorph of the same formula = 0.000 kcal/mol of atoms
# electronic total energy = -3.7507 eV per atom
data_Rb4SnS4
_chemical_formula_sum 'Rb32 Sn8 S32'
_cell_length_a 13.666
_cell_length_b 13.666
_cell_length_c 13.666
_cell_angle_alpha 90.00
_cell_angle_beta 90.00
_cell_angle_gamma 90.00
_space_group_name_H-M_alt 'P -4 3 n'
_space_group_IT_number 218
_space_group_name_Hall 'P -4n 2 3'
loop_
_atom_site_label
_atom_site_type_symbol
_atom_site_fract_x
_atom_site_fract_y
_atom_site_fract_z
Rb1 Rb 0.084 0.136 0.652
Rb2 Rb 0.154 0.154 0.154
Sn1 Sn 0.000 0.000 0.000
Sn2 Sn 0.000 0.500 0.250
S1 S 0.098 0.388 0.654
S2 S 0.102 0.102 0.898